Computed, not measured: a relaxed BaLa3Ru crystal at the PBE level of DFT.

a = 10.7264 Å, b = 10.7264 Å, c = 10.7264 Å
α = 38.65°, β = 38.65°, γ = 38.65°
With the nearest neighbours (Å) after each atom.
Element x y z (fractional)
La (0.1118, 0.7938, 0.4369)  2 Ru 2.77-2.86
La (0.7938, 0.4369, 0.1118)  2 Ru 2.77-2.86
La (0.4369, 0.1118, 0.7938)  2 Ru 2.77-2.86
La (0.8882, 0.2062, 0.5631)  2 Ru 2.77-2.86
La (0.2062, 0.5631, 0.8882)  2 Ru 2.77-2.86
La (0.5631, 0.8882, 0.2062)  2 Ru 2.77-2.86
Ru (0.1669, 0.1669, 0.1669)  6 La 2.77-2.86
Ru (0.8331, 0.8331, 0.8331)  6 La 2.77-2.86
Ba (0.3323, 0.3323, 0.3323)  3 Ba 4.10, 6 La 4.13-4.19
Ba (0.6677, 0.6677, 0.6677)  3 Ba 4.10, 6 La 4.13-4.19

Summary:
Magnetic moment ... 0.00 μB/f.u.
E ... -5.258 eV per atom
Symmetry ... R-3 (148)